Entry 1:
Compound: BaRhNO2
Source: Alexandria via LeMat-Bulk
Functional: PBE
Structure: optimized geometry

Cell: 4.2848 4.2848 3.7622 Å, 90.00 90.00 90.00°
With the nearest neighbours (Å) after each atom.
Atoms (fractional coordinates):
O (0.5000, 0.0000, 0.0000)  2 Rh 2.14
Ba (0.5000, 0.5000, 0.5000)  8 O 2.85, 4 N 3.03
Rh (0.0000, 0.0000, 0.0000)  2 N 1.88
O (0.0000, 0.5000, 0.0000)  2 Rh 2.14
N (0.0000, 0.0000, 0.5000)  2 Rh 1.88

- crystal system = tetragonal
- calculated total energy (eV/atom) = -6.39
- D(E_F) (states/eV/f.u.) = 4.8

---

Entry 2:
Compound: AlHPdPt2
Source: Alexandria via LeMat-Bulk
Functional: PBE
Structure: optimized geometry

Cell: 3.9745 3.9745 4.0007 Å, 90.00 90.00 90.00°
With the nearest neighbours (Å) after each atom.
Atoms (fractional coordinates):
Pd (0.0000, 0.0000, 0.5000)  2 H 2.00
Pt (0.0000, 0.5000, 0.0000)  2 H 1.99
Pt (0.5000, 0.0000, 0.0000)  2 H 1.99
Al (0.5000, 0.5000, 0.5000)  4 Pd 2.81, 8 Pt 2.82
H (0.0000, 0.0000, 0.0000)  4 Pt 1.99, 2 Pd 2.00

- crystal system = tetragonal
- calculated total energy (eV/atom) = -5.37
- D(E_F) (states/eV/f.u.) = 0.5

---

Entry 3:
Compound: SmHfZr2
Source: Alexandria via LeMat-Bulk
Functional: PBE
Structure: optimized geometry

Cell: 4.6042 4.6506 4.6506 Å, 90.00 90.00 90.00°
With the nearest neighbours (Å) after each atom.
Atoms (fractional coordinates):
Zr (0.0000, 0.5000, 0.0000)  4 Sm 3.27, 4 Hf 3.27, 4 Zr 3.29
Hf (0.5000, 0.0000, 0.0000)  8 Zr 3.27, 4 Sm 3.29
Sm (0.5000, 0.5000, 0.5000)  8 Zr 3.27, 4 Hf 3.29
Zr (0.0000, 0.0000, 0.5000)  4 Sm 3.27, 4 Hf 3.27, 4 Zr 3.29

- energy relative to the lowest polymorph listed for this composition (eV per formula unit) = 0.26
- crystal system = tetragonal
- calculated total energy (eV/atom) = -7.76
- E_form (eV per atom) = 0.183
- D(E_F) (states/eV/f.u.) = 5.9

---

Repeat the second record exactly.
Compound: AlHPdPt2
Source: Alexandria via LeMat-Bulk
Functional: PBE
Structure: optimized geometry

Cell: 3.9745 3.9745 4.0007 Å, 90.00 90.00 90.00°
With the nearest neighbours (Å) after each atom.
Atoms (fractional coordinates):
Pd (0.0000, 0.0000, 0.5000)  2 H 2.00
Pt (0.0000, 0.5000, 0.0000)  2 H 1.99
Pt (0.5000, 0.0000, 0.0000)  2 H 1.99
Al (0.5000, 0.5000, 0.5000)  4 Pd 2.81, 8 Pt 2.82
H (0.0000, 0.0000, 0.0000)  4 Pt 1.99, 2 Pd 2.00

- crystal system = tetragonal
- calculated total energy (eV/atom) = -5.37
- D(E_F) (states/eV/f.u.) = 0.5

---

The lowest D(E_F) belongs to which entry?
AlHPdPt2

---

Look up the calculated total energy of the first one.
-6.39 eV/atom